# 1
# Cs2RbTlI6 | Alexandria via LeMat-Bulk | PBE | relaxed
data_Cs2RbTlI6
_chemical_formula_sum 'Cs4 Rb2 Tl2 I12'
_symmetry_space_group_name_H-M 'P m m n'
_symmetry_Int_Tables_number 59
_cell_length_a 8.5668
_cell_length_b 13.0105
_cell_length_c 10.2691
_cell_angle_alpha 90.00
_cell_angle_beta 90.00
_cell_angle_gamma 90.00
loop_
_symmetry_equiv_pos_as_xyz
'x,y,z'
'-x,-y,-z'
'-x+1/2,-y+1/2,z'
'x+1/2,y+1/2,-z'
'x+1/2,-y,-z'
'-x+1/2,y,z'
'-x,y+1/2,-z'
'x,-y+1/2,z'
loop_
_atom_site_label
_atom_site_fract_x
_atom_site_fract_y
_atom_site_fract_z
_atom_site_occupancy
Cs1 0.2500 0.0399 0.1756 1
Rb1 0.2500 0.2500 0.6923 1
Tl1 0.2500 0.7500 0.7976 1
I1 0.0076 0.7500 0.0191 1
I2 0.0132 0.2500 0.3973 1
I3 0.2500 0.5162 0.8024 1
# size of the total moment: 0.00 Bohr magnetons per cell
# calculated density: 3.82 g/cm³

# 2
# CsRb2TlI4 | Alexandria via LeMat-Bulk | PBE | relaxed
data_CsRb2TlI4
_chemical_formula_sum 'Cs1 Rb2 Tl1 I4'
_symmetry_space_group_name_H-M 'P 1 2/m 1'
_symmetry_Int_Tables_number 10
_cell_length_a 9.1538
_cell_length_b 5.2894
_cell_length_c 9.1637
_cell_angle_alpha 90.00
_cell_angle_beta 109.39
_cell_angle_gamma 90.00
loop_
_symmetry_equiv_pos_as_xyz
'x,y,z'
'-x,-y,-z'
'-x,y,-z'
'x,-y,z'
loop_
_atom_site_label
_atom_site_fract_x
_atom_site_fract_y
_atom_site_fract_z
_atom_site_occupancy
Cs1 0.0000 0.0000 0.0000 1
Rb1 0.5000 0.0000 0.5000 1
Rb2 0.5000 0.5000 0.0000 1
Tl1 0.0000 0.5000 0.5000 1
I1 0.2453 0.0000 0.7365 1
I2 0.2542 0.5000 0.2642 1
# size of the total moment: 0.00 Bohr magnetons per cell
# calculated density: 4.03 g/cm³

# 3
# CsRbTlI3 | Alexandria via LeMat-Bulk | PBE | relaxed
data_CsRbTlI3
_chemical_formula_sum 'Cs2 Rb2 Tl2 I6'
_symmetry_space_group_name_H-M 'P 1 21/m 1'
_symmetry_Int_Tables_number 11
_cell_length_a 10.2083
_cell_length_b 5.4044
_cell_length_c 12.6604
_cell_angle_alpha 90.00
_cell_angle_beta 104.99
_cell_angle_gamma 90.00
loop_
_symmetry_equiv_pos_as_xyz
'x,y,z'
'-x,-y,-z'
'-x,y+1/2,-z'
'x,-y+1/2,z'
loop_
_atom_site_label
_atom_site_fract_x
_atom_site_fract_y
_atom_site_fract_z
_atom_site_occupancy
Cs1 0.2079 0.2500 0.2247 1
Rb1 0.3227 0.7500 0.8942 1
Tl1 0.1638 0.2500 0.6233 1
I1 0.0816 0.2500 0.8797 1
I2 0.1846 0.7500 0.4656 1
I3 0.4774 0.7500 0.1867 1
# size of the total moment: 0.00 Bohr magnetons per cell
# calculated density: 3.95 g/cm³

# 4
# CsRbTlI4 | Alexandria via LeMat-Bulk | PBE | relaxed
data_CsRbTlI4
_chemical_formula_sum 'Cs4 Rb4 Tl4 I16'
_symmetry_space_group_name_H-M 'C m c m'
_symmetry_Int_Tables_number 63
_symmetry_space_group_name_Hall '-C 2c 2'
_cell_length_a 8.7133
_cell_length_b 19.3927
_cell_length_c 8.7293
_cell_angle_alpha 90.00
_cell_angle_beta 90.00
_cell_angle_gamma 90.00
loop_
_atom_site_label
_atom_site_fract_x
_atom_site_fract_y
_atom_site_fract_z
_atom_site_occupancy
Cs1 0.0000 0.1088 0.2500 1
Rb1 0.0000 0.3900 0.2500 1
Tl1 0.0000 0.2516 0.7500 1
I1 0.0000 0.0854 0.7500 1
I2 0.0000 0.4198 0.7500 1
I3 0.2500 0.2500 0.0000 1
# size of the total moment: 0.00 Bohr magnetons per cell
# calculated density: 4.19 g/cm³

# 5
# CsRb2Tl3I6 | Alexandria via LeMat-Bulk | PBE | relaxed
data_CsRb2Tl3I6
_chemical_formula_sum 'Cs2 Rb4 Tl6 I12'
_symmetry_space_group_name_H-M 'C 1 2/m 1'
_symmetry_Int_Tables_number 12
_cell_length_a 22.6606
_cell_length_b 5.1968
_cell_length_c 10.3986
_cell_angle_alpha 90.00
_cell_angle_beta 103.18
_cell_angle_gamma 90.00
loop_
_symmetry_equiv_pos_as_xyz
'x,y,z'
'-x,-y,-z'
'-x,y,-z'
'x,-y,z'
'x+1/2,y+1/2,z'
'-x+1/2,-y+1/2,-z'
'-x+1/2,y+1/2,-z'
'x+1/2,-y+1/2,z'
loop_
_atom_site_label
_atom_site_fract_x
_atom_site_fract_y
_atom_site_fract_z
_atom_site_occupancy
Cs1 0.0000 0.0000 0.0000 1
Rb1 0.1683 0.5000 0.3364 1
Tl1 0.0000 0.0000 0.5000 1
Tl2 0.1672 0.5000 0.8332 1
I1 0.0005 0.5000 0.7310 1
I2 0.1633 0.0000 0.5901 1
I3 0.1733 0.0000 0.0818 1
# size of the total moment: 0.00 Bohr magnetons per cell
# calculated density: 4.68 g/cm³

# 6
# Cs2RbTlI4 | Alexandria via LeMat-Bulk | PBE | relaxed
data_Cs2RbTlI4
_chemical_formula_sum 'Cs2 Rb1 Tl1 I4'
_symmetry_space_group_name_H-M 'P 1 2/m 1'
_symmetry_Int_Tables_number 10
_cell_length_a 9.2450
_cell_length_b 5.3490
_cell_length_c 9.2695
_cell_angle_alpha 90.00
_cell_angle_beta 109.44
_cell_angle_gamma 90.00
loop_
_symmetry_equiv_pos_as_xyz
'x,y,z'
'-x,-y,-z'
'-x,y,-z'
'x,-y,z'
loop_
_atom_site_label
_atom_site_fract_x
_atom_site_fract_y
_atom_site_fract_z
_atom_site_occupancy
Cs1 0.0000 0.0000 0.0000 1
Cs2 0.5000 0.5000 0.0000 1
Rb1 0.0000 0.5000 0.5000 1
Tl1 0.5000 0.0000 0.5000 1
I1 0.2499 0.0000 0.7320 1
I2 0.2628 0.5000 0.2715 1
# size of the total moment: 0.00 Bohr magnetons per cell
# calculated density: 4.08 g/cm³

no.,formation energy without anion corrections (eV/atom)
1,-0.991
2,-1.294
3,-1.187
4,-1.010
5,-1.082
6,-1.310